(1)
{
  "formula": "LiPr3Rh",
  "functional": "PBE-GGA",
  "state": "optimized geometry",
  "lattice": [[-4.210, 3.153, -1.959], [-0.179, -3.132, -4.655], [-3.708, -3.429, 2.450]],
  "species": ["Pr", "Pr", "Pr", "Rh", "Li"],
  "fractional_positions": [[0.000, 0.500, 0.000], [0.000, 0.000, 0.500], [0.500, 0.000, 0.000], [0.000, 0.000, 0.000], [0.500, 0.500, 0.500]],
  "final_energy_ev_per_atom": -4.835,
  "formation_enthalpy_0k_ev_per_fu": -0.57,
  "vol_a3_per_atom": 35.37,
  "relative_energy_ev_per_fu": 0.622
}


(2)
{
  "formula": "SrPm2Sm",
  "functional": "PBE-GGA",
  "state": "optimized geometry",
  "lattice": [[-4.704, 0.588, -2.368], [2.110, -1.612, -4.592], [-1.230, -5.019, 1.197]],
  "species": ["Sr", "Sm", "Pm", "Pm"],
  "fractional_positions": [[0.500, 0.000, 0.000], [0.500, 0.500, 0.500], [0.000, 0.000, 0.500], [0.000, 0.500, 0.000]],
  "final_energy_ev_per_atom": -3.812,
  "formation_enthalpy_0k_ev_per_fu": 0.65,
  "vol_a3_per_atom": 37.28,
  "relative_energy_ev_per_fu": 0.285
}


(3)
{
  "formula": "RbZnCr2Si",
  "functional": "PBE-GGA",
  "state": "optimized geometry",
  "lattice": [[6.379, 0.000, 0.000], [0.000, 6.193, 0.000], [0.000, 0.000, 6.379]],
  "species": ["Cr", "Cr", "Zn", "Si", "Rb"],
  "fractional_positions": [[0.000, 0.000, 0.500], [0.500, 0.000, 0.000], [0.500, 0.500, 0.500], [0.000, 0.500, 0.000], [0.000, 0.000, 0.000]],
  "final_energy_ev_per_atom": -3.101,
  "vol_a3_per_atom": 50.39,
  "formation_energy_uncorrected_mev_per_atom": 2281
}


(4)
{
  "formula": "LiHo2Er3S6",
  "functional": "PBE-GGA",
  "state": "optimized geometry",
  "lattice": [[-1.491, 5.663, 3.205], [-4.737, -3.297, -3.356], [0.713, -4.093, 5.237]],
  "species": ["Li", "Ho", "Ho", "Er", "Er", "Er", "S", "S", "S", "S", "S", "S"],
  "fractional_positions": [[0.000, 0.000, 0.000], [0.334, 0.666, 0.000], [0.666, 0.334, 0.000], [0.166, 0.834, 0.500], [0.834, 0.166, 0.500], [0.500, 0.500, 0.500], [0.918, 0.592, 0.752], [0.758, 0.758, 0.244], [0.082, 0.408, 0.248], [0.592, 0.918, 0.752], [0.242, 0.242, 0.756], [0.408, 0.082, 0.248]],
  "final_energy_ev_per_atom": -6.071,
  "vol_a3_per_atom": 20.23,
  "formation_energy_uncorrected_mev_per_atom": -1944
}


(5)
{
  "formula": "Na2SiAu2",
  "functional": "PBE-GGA",
  "state": "optimized geometry",
  "lattice": [[6.608, 0.000, 0.000], [0.000, 6.608, 0.000], [0.000, 0.000, 4.912]],
  "species": ["Na", "Na", "Na", "Na", "Si", "Si", "Au", "Au", "Au", "Au"],
  "fractional_positions": [[0.168, 0.668, 0.500], [0.668, 0.832, 0.500], [0.832, 0.332, 0.500], [0.332, 0.168, 0.500], [0.000, 0.000, 0.000], [0.500, 0.500, 0.000], [0.346, 0.846, 0.000], [0.846, 0.654, 0.000], [0.654, 0.154, 0.000], [0.154, 0.346, 0.000]],
  "final_energy_ev_per_atom": -3.121,
  "vol_a3_per_atom": 21.45,
  "formation_energy_uncorrected_mev_per_atom": -198,
  "relative_energy_ev_per_fu": 0.404
}


(6)
{
  "formula": "La2Sn3Au2",
  "functional": "PBE-GGA",
  "state": "optimized geometry",
  "lattice": [[-4.287, -2.204, -0.331], [3.295, -5.958, -3.015], [3.486, -2.923, 9.587]],
  "species": ["La", "La", "La", "La", "Sn", "Sn", "Sn", "Sn", "Sn", "Sn", "Au", "Au", "Au", "Au"],
  "fractional_positions": [[0.161, 0.250, 0.321], [0.839, 0.750, 0.679], [0.956, 0.250, 0.912], [0.044, 0.750, 0.088], [0.214, 0.750, 0.428], [0.786, 0.250, 0.572], [0.567, 0.445, 0.133], [0.433, 0.555, 0.867], [0.433, 0.945, 0.867], [0.567, 0.055, 0.133], [0.696, 0.955, 0.392], [0.304, 0.045, 0.608], [0.304, 0.455, 0.608], [0.696, 0.545, 0.392]],
  "final_energy_ev_per_atom": -4.766,
  "formation_enthalpy_0k_ev_per_fu": -4.94,
  "vol_a3_per_atom": 26.55
}


(7)
{
  "formula": "Ho4NiPb",
  "functional": "PBE-GGA",
  "state": "optimized geometry",
  "lattice": [[-1.564, 4.270, 3.312], [-5.896, 0.519, -3.454], [-2.479, -8.251, 2.994]],
  "species": ["Ho", "Ho", "Ho", "Ho", "Ho", "Ho", "Ho", "Ho", "Ni", "Ni", "Pb", "Pb"],
  "fractional_positions": [[0.567, 0.250, 0.441], [0.433, 0.750, 0.559], [0.647, 0.250, 0.858], [0.353, 0.750, 0.142], [0.940, 0.006, 0.282], [0.060, 0.506, 0.718], [0.940, 0.494, 0.282], [0.060, 0.994, 0.718], [0.206, 0.250, 0.550], [0.794, 0.750, 0.450], [0.290, 0.250, 0.066], [0.710, 0.750, 0.934]],
  "final_energy_ev_per_atom": -4.981,
  "formation_enthalpy_0k_ev_per_fu": -2.08,
  "vol_a3_per_atom": 26.62,
  "relative_energy_ev_per_fu": 0.000
}


(8)
{
  "formula": "KYCdI6",
  "functional": "PBE-GGA",
  "state": "optimized geometry",
  "lattice": [[-2.344, 0.702, -7.438], [-2.154, -6.240, 4.211], [-12.827, 7.643, 4.763]],
  "species": ["K", "K", "Y", "Y", "Cd", "Cd", "I", "I", "I", "I", "I", "I", "I", "I", "I", "I", "I", "I"],
  "fractional_positions": [[0.000, 0.000, 0.000], [0.000, 0.000, 0.500], [0.333, 0.667, 0.250], [0.667, 0.333, 0.750], [0.667, 0.333, 0.250], [0.333, 0.667, 0.750], [0.632, 0.631, 0.138], [0.999, 0.368, 0.138], [0.368, 0.999, 0.638], [0.001, 0.632, 0.862], [0.369, 0.368, 0.362], [0.999, 0.631, 0.362], [0.631, 0.999, 0.862], [0.632, 0.001, 0.362], [0.001, 0.369, 0.638], [0.369, 0.001, 0.138], [0.631, 0.632, 0.638], [0.368, 0.369, 0.862]],
  "final_energy_ev_per_atom": -3.109,
  "vol_a3_per_atom": 46.23,
  "formation_energy_uncorrected_mev_per_atom": -1134
}


(9)
{
  "formula": "CeGaRhN",
  "functional": "PBE-GGA",
  "state": "optimized geometry",
  "lattice": [[-1.264, 2.089, -3.073], [0.168, -3.211, -2.251], [-8.276, -1.909, 2.107]],
  "species": ["Ce", "Ce", "Ga", "Ga", "Rh", "Rh", "N", "N"],
  "fractional_positions": [[0.000, 0.500, 0.855], [0.500, 0.000, 0.145], [0.000, 0.500, 0.331], [0.500, 0.000, 0.669], [0.000, 0.000, 0.500], [0.500, 0.500, 0.500], [0.500, 0.000, 0.893], [0.000, 0.500, 0.107]],
  "final_energy_ev_per_atom": -7.007,
  "vol_a3_per_atom": 16.85,
  "formation_energy_uncorrected_mev_per_atom": -848
}


(10)
{
  "formula": "MgPRu",
  "functional": "PBE-GGA",
  "state": "optimized geometry",
  "lattice": [[7.100, 0.001, -0.001], [-2.273, 4.651, -0.004], [-0.662, 0.691, 2.913]],
  "species": ["Ru", "Ru", "Mg", "Mg", "P", "P"],
  "fractional_positions": [[0.754, 0.646, 0.500], [0.320, 0.611, 0.300], [0.652, 0.041, 0.751], [0.100, 0.048, 0.971], [0.057, 0.569, 0.689], [0.498, 0.392, 0.999]],
  "final_energy_ev_per_atom": -5.902,
  "formation_enthalpy_0k_ev_per_fu": -1.43,
  "vol_a3_per_atom": 16.04
}


(11)
{
  "formula": "HoGe2Mo",
  "functional": "PBE-GGA",
  "state": "optimized geometry",
  "lattice": [[3.689, 0.000, 0.000], [1.844, 3.194, 0.000], [1.844, 1.065, 6.792]],
  "species": ["Mo", "Ge", "Ge", "Ho"],
  "fractional_positions": [[0.000, 0.000, 0.000], [0.740, 0.740, 0.781], [0.260, 0.260, 0.219], [0.500, 0.500, 0.500]],
  "final_energy_ev_per_atom": -6.432,
  "formation_enthalpy_0k_ev_per_fu": -1.09,
  "vol_a3_per_atom": 20.01
}


(12)
{
  "formula": "SrLiAs2",
  "functional": "PBE-GGA",
  "state": "optimized geometry",
  "lattice": [[5.061, 0.000, 0.000], [2.530, 4.383, 0.000], [2.530, 1.461, 4.132]],
  "species": ["As", "As", "Li", "Sr"],
  "fractional_positions": [[0.000, 0.000, 0.000], [0.250, 0.250, 0.250], [0.500, 0.500, 0.500], [0.750, 0.750, 0.750]],
  "final_energy_ev_per_atom": -3.528,
  "formation_enthalpy_0k_ev_per_fu": -1.22,
  "vol_a3_per_atom": 22.91,
  "relative_energy_ev_per_fu": 1.871
}


(13)
{
  "formula": "CsRhIO2",
  "functional": "PBE-GGA",
  "state": "optimized geometry",
  "lattice": [[-1.441, -3.897, 1.767], [1.246, -2.166, -3.761], [4.907, -0.854, 2.118]],
  "species": ["Cs", "I", "Rh", "O", "O"],
  "fractional_positions": [[0.500, 0.500, 0.500], [0.000, 0.000, 0.500], [0.000, 0.000, 0.000], [0.000, 0.500, 0.000], [0.500, 0.000, 0.000]],
  "final_energy_ev_per_atom": -4.017,
  "vol_a3_per_atom": 22.07,
  "formation_energy_uncorrected_mev_per_atom": -83,
  "relative_energy_ev_per_fu": 0.000
}


(14)
{
  "formula": "KSb2Ru",
  "functional": "PBE-GGA",
  "state": "optimized geometry",
  "lattice": [[-4.234, 0.400, -0.366], [-2.451, -3.477, -0.349], [-2.883, -1.296, 7.030]],
  "species": ["K", "Ru", "Sb", "Sb"],
  "fractional_positions": [[0.503, 0.503, 0.490], [0.322, 0.322, 0.032], [0.955, 0.955, 0.136], [0.720, 0.720, 0.841]],
  "final_energy_ev_per_atom": -4.804,
  "vol_a3_per_atom": 28.80,
  "formation_energy_uncorrected_mev_per_atom": -150,
  "relative_energy_ev_per_fu": 0.008
}


(15)
{
  "formula": "FeBSe2",
  "functional": "PBE-GGA",
  "state": "optimized geometry",
  "lattice": [[2.256, 0.000, 6.294], [-1.128, 1.954, 6.294], [-1.128, -1.954, 6.294]],
  "species": ["B", "Fe", "Se", "Se"],
  "fractional_positions": [[0.000, 0.000, 0.000], [0.500, 0.500, 0.500], [0.902, 0.902, 0.902], [0.098, 0.098, 0.098]],
  "final_energy_ev_per_atom": -5.074,
  "vol_a3_per_atom": 20.82,
  "formation_energy_uncorrected_mev_per_atom": 453
}


(16)
{
  "formula": "YP2IO",
  "functional": "PBE-GGA",
  "state": "optimized geometry",
  "lattice": [[-2.328, -3.079, 3.987], [4.735, 0.160, 2.889], [-1.302, 3.496, 1.939]],
  "species": ["I", "Y", "O", "P", "P"],
  "fractional_positions": [[0.500, 0.500, 0.500], [0.000, 0.000, 0.000], [0.000, 0.000, 0.500], [0.000, 0.500, 0.000], [0.500, 0.000, 0.000]],
  "final_energy_ev_per_atom": -4.817,
  "vol_a3_per_atom": 25.89,
  "formation_energy_uncorrected_mev_per_atom": -59,
  "relative_energy_ev_per_fu": 0.000
}


(17)
{
  "formula": "RbGe2Bi2",
  "functional": "PBE-GGA",
  "state": "optimized geometry",
  "lattice": [[-0.271, -2.292, -8.943], [8.997, -2.070, 0.258], [-0.862, -3.629, 0.956]],
  "species": ["Ge", "Ge", "Ge", "Ge", "Bi", "Bi", "Bi", "Bi", "Rb", "Rb"],
  "fractional_positions": [[0.124, 0.624, 0.500], [0.624, 0.876, 0.500], [0.876, 0.376, 0.500], [0.376, 0.124, 0.500], [0.367, 0.867, 0.000], [0.867, 0.633, 0.000], [0.633, 0.133, 0.000], [0.133, 0.367, 0.000], [0.000, 0.000, 0.000], [0.500, 0.500, 0.000]],
  "final_energy_ev_per_atom": -3.485,
  "formation_enthalpy_0k_ev_per_fu": 0.54,
  "vol_a3_per_atom": 32.85,
  "relative_energy_ev_per_fu": 0.689
}


(18)
{
  "formula": "AcGaS4",
  "functional": "PBE-GGA",
  "state": "optimized geometry",
  "lattice": [[-1.328, 5.150, -2.476], [-6.938, -2.776, -0.741], [-1.742, 2.639, 6.422]],
  "species": ["Ac", "Ac", "Ga", "Ga", "S", "S", "S", "S", "S", "S", "S", "S"],
  "fractional_positions": [[0.500, 0.250, 0.270], [0.500, 0.750, 0.730], [0.000, 0.250, 0.727], [0.000, 0.750, 0.273], [0.157, 0.552, 0.056], [0.272, 0.415, 0.583], [0.843, 0.948, 0.056], [0.728, 0.585, 0.417], [0.728, 0.085, 0.583], [0.157, 0.052, 0.944], [0.272, 0.915, 0.417], [0.843, 0.448, 0.944]],
  "final_energy_ev_per_atom": -5.043,
  "vol_a3_per_atom": 26.21,
  "formation_energy_uncorrected_mev_per_atom": -1103
}


(19)
{
  "formula": "TaNiPb2",
  "functional": "PBE-GGA",
  "state": "optimized geometry",
  "lattice": [[-3.456, 0.062, 2.245], [-1.912, -1.885, -2.890], [0.366, -5.588, 0.718]],
  "species": ["Ni", "Pb", "Pb", "Ta"],
  "fractional_positions": [[0.500, 0.559, 0.759], [0.000, 0.976, 0.923], [0.500, 0.272, 0.330], [0.000, 0.694, 0.488]],
  "final_energy_ev_per_atom": -5.909,
  "formation_enthalpy_0k_ev_per_fu": 1.42,
  "vol_a3_per_atom": 21.51,
  "relative_energy_ev_per_fu": 0.763
}


(20)
{
  "formula": "DyHfIn",
  "functional": "PBE-GGA",
  "state": "optimized geometry",
  "lattice": [[-1.765, 5.363, 1.072], [-3.890, 2.320, -2.611], [-4.966, 0.507, 4.687]],
  "species": ["Hf", "Hf", "Dy", "Dy", "In", "In"],
  "fractional_positions": [[0.750, 0.500, 0.500], [0.250, 0.500, 0.500], [0.823, 0.354, 0.000], [0.177, 0.646, 0.000], [0.619, 0.000, 0.762], [0.381, 0.000, 0.238]],
  "final_energy_ev_per_atom": -5.662,
  "formation_enthalpy_0k_ev_per_fu": 0.31,
  "vol_a3_per_atom": 26.00,
  "relative_energy_ev_per_fu": 0.805
}


(21)
{
  "formula": "Sc2Al5Cu5",
  "functional": "PBE-GGA",
  "state": "optimized geometry",
  "lattice": [[-1.121, 1.626, -3.571], [2.343, -3.895, -2.508], [-7.463, -4.638, 0.231]],
  "species": ["Sc", "Sc", "Al", "Al", "Al", "Al", "Al", "Cu", "Cu", "Cu", "Cu", "Cu"],
  "fractional_positions": [[0.000, 0.500, 0.000], [0.000, 0.000, 0.500], [0.500, 0.500, 0.500], [0.500, 0.750, 0.237], [0.500, 0.250, 0.763], [0.500, 0.250, 0.237], [0.500, 0.750, 0.763], [0.000, 0.500, 0.333], [0.000, 0.000, 0.834], [0.000, 0.000, 0.166], [0.000, 0.500, 0.667], [0.500, 0.000, 0.000]],
  "final_energy_ev_per_atom": -4.685,
  "formation_enthalpy_0k_ev_per_fu": -4.36,
  "vol_a3_per_atom": 15.52
}